1.
A plane-wave DFT calculation with PBE was carried out for crystalline InNi3H at its relaxed geometry.

Polymorph energy (0 for the lowest one) (meV per atom): 0
Calculated volume (Å³ per atom): 10.75
N(E_F) (states/eV/f.u.): 0.8
M_tot (μB per atom): 0.000

a b c (Å): 3.7733 3.7733 3.7733
angles (deg): 90.00 90.00 90.00
Closest atoms and distances in Å follow each position.
Space group Pm-3m (No. 221)
Unique sites:
In 0.0000 0.0000 0.0000  12 Ni 2.67
Ni 0.0000 0.5000 0.5000  2 H 1.89
H 0.5000 0.5000 0.5000  6 Ni 1.89



2.
A plane-wave DFT calculation with PBE was carried out for crystalline InNi3H at its relaxed geometry.

Polymorph energy (0 for the lowest one) (meV per atom): 174
Calculated volume (Å³ per atom): 11.31
N(E_F) (states/eV/f.u.): 3.6
M_tot (μB per atom): 0.000

a b c (Å): 9.8015 4.4580 5.4182
angles (deg): 90.00 107.23 90.00
Closest atoms and distances in Å follow each position.
Space group C2/m (No. 12)
Unique sites:
In 0.1360 0.0000 0.4345  9 Ni 2.61-2.76
Ni 0.1093 0.5000 0.6863  1 H 1.62
Ni 0.1130 0.5000 0.1730  1 H 1.60
Ni 0.1150 0.0000 0.9310  1 H 1.63
H 0.2105 0.5000 0.9824  3 Ni 1.60-1.63



3.
A plane-wave DFT calculation with PBE was carried out for crystalline InNiH2 at its relaxed geometry.

Polymorph energy (0 for the lowest one) (meV per atom): 0
Calculated volume (Å³ per atom): 10.49
N(E_F) (states/eV/f.u.): 1.3
M_tot (μB per atom): 0.000

a b c (Å): 3.0960 3.0960 8.7534
angles (deg): 90.00 90.00 90.00
Closest atoms and distances in Å follow each position.
Space group I4mm (No. 107)
Unique sites:
In 0.0000 0.0000 0.0000  8 H 2.61-2.75, 5 Ni 2.67-2.77
Ni 0.0000 0.0000 0.3054  4 H 1.65
H 0.0000 0.5000 0.2399  2 Ni 1.65



4.
A plane-wave DFT calculation with PBE was carried out for crystalline InNi2H at its relaxed geometry.

Polymorph energy (0 for the lowest one) (meV per atom): 138
Calculated volume (Å³ per atom): 11.35
N(E_F) (states/eV/f.u.): 2.9
M_tot (μB per atom): 0.000

a b c (Å): 2.9262 2.9262 18.3665
angles (deg): 90.00 90.00 120.00
Closest atoms and distances in Å follow each position.
Space group R-3m (No. 166, hexagonal axes)
Unique sites:
In 0.0000 0.0000 0.0000  6 Ni 2.70, 6 In 2.93
Ni 0.0000 0.0000 0.2186  3 H 1.94
H 0.0000 0.0000 0.5000  6 Ni 1.94



5.
A plane-wave DFT calculation with PBE was carried out for crystalline InNi3H at its relaxed geometry.

Polymorph energy (0 for the lowest one) (meV per atom): 753
Calculated volume (Å³ per atom): 16.65
N(E_F) (states/eV/f.u.): 3.3
M_tot (μB per atom): 0.009

a b c (Å): 4.2100 4.2100 18.7929
angles (deg): 90.00 90.00 90.00
Closest atoms and distances in Å follow each position.
Space group I-4m2 (No. 119)
Unique sites:
In 0.0000 0.0000 0.0000  4 Ni 2.58
In 0.0000 0.5000 0.2500  4 Ni 2.57
Ni 0.0000 0.0000 0.3563  2 H 2.11
Ni 0.0000 0.2440 0.1261  2 Ni 2.05-2.16
H 0.0000 0.5000 0.6376  6 Ni 2.11-2.35



6.
A plane-wave DFT calculation with PBE was carried out for crystalline InNi3H at its relaxed geometry.

Polymorph energy (0 for the lowest one) (meV per atom): 75
Calculated volume (Å³ per atom): 10.88
N(E_F) (states/eV/f.u.): 1.9
M_tot (μB per atom): 0.000

a b c (Å): 9.2965 5.2978 4.6871
angles (deg): 90.00 109.48 90.00
Closest atoms and distances in Å follow each position.
Space group Cm (No. 8)
Unique sites:
In 0.0000 0.0000 0.0000  1 H 2.39, 7 Ni 2.64-2.67
In 0.2341 0.5000 0.4254  11 Ni 2.61-2.75
Ni 0.2444 0.2435 0.9427  2 H 1.85-1.94
Ni 0.2580 0.0000 0.4628  1 H 1.65
Ni 0.4887 0.0000 0.9465  1 H 1.84
Ni 0.4948 0.2438 0.4798  2 H 1.84-1.96
H 0.1320 0.0000 0.6407  3 Ni 1.65-1.84
H 0.3685 0.0000 0.1886  6 Ni 1.84-1.96



7.
A plane-wave DFT calculation with PBE was carried out for crystalline InNi2H at its relaxed geometry.

Polymorph energy (0 for the lowest one) (meV per atom): 0
Calculated volume (Å³ per atom): 11.77
N(E_F) (states/eV/f.u.): 1.0
M_tot (μB per atom): 0.000

a b c (Å): 5.3357 5.3357 6.6133
angles (deg): 90.00 90.00 90.00
Closest atoms and distances in Å follow each position.
Space group I-42d (No. 122)
Unique sites:
In 0.0000 0.0000 0.0000  8 Ni 2.77-2.84
Ni 0.0731 0.7500 0.6250  2 H 1.62
H 0.0000 0.0000 0.5000  4 Ni 1.62



8.
A plane-wave DFT calculation with PBE was carried out for crystalline InNi3H at its relaxed geometry.

Polymorph energy (0 for the lowest one) (meV per atom): 255
Calculated volume (Å³ per atom): 11.42
N(E_F) (states/eV/f.u.): 2.8
M_tot (μB per atom): 0.000

a b c (Å): 6.5871 6.5871 9.1148
angles (deg): 90.00 90.00 120.00
Closest atoms and distances in Å follow each position.
Space group R-3c (No. 167, hexagonal axes)
Unique sites:
In 0.0000 0.0000 0.0000  2 H 2.28
Ni 0.0000 0.2453 0.2500  1 H 1.62
H 0.0000 0.0000 0.2500  3 Ni 1.62



9.
A plane-wave DFT calculation with PBE was carried out for crystalline In2NiH2 at its relaxed geometry.

Polymorph energy (0 for the lowest one) (meV per atom): 3
Calculated volume (Å³ per atom): 12.75
N(E_F) (states/eV/f.u.): 2.2
M_tot (μB per atom): 0.000

a b c (Å): 3.1132 3.1132 13.1564
angles (deg): 90.00 90.00 90.00
Closest atoms and distances in Å follow each position.
Space group I4/mmm (No. 139)
Unique sites:
In 0.0000 0.0000 0.1261  4 H 2.25
Ni 0.0000 0.0000 0.5000  8 In 2.76
H 0.0000 0.5000 0.2500  4 H 2.20, 4 In 2.25



10.
A plane-wave DFT calculation with PBE was carried out for crystalline In2NiH2 at its relaxed geometry.

Polymorph energy (0 for the lowest one) (meV per atom): 0
Calculated volume (Å³ per atom): 13.66
N(E_F) (states/eV/f.u.): 1.3
M_tot (μB per atom): 0.000

a b c (Å): 5.6672 5.6672 4.2543
angles (deg): 90.00 90.00 90.00
Closest atoms and distances in Å follow each position.
Space group P4/mbm (No. 127)
Unique sites:
In 0.1887 0.3113 0.0000  2 H 2.16
Ni 0.0000 0.0000 0.5000  4 H 2.01
H 0.2335 0.2665 0.5000  2 Ni 2.01, 2 In 2.16



11.
A plane-wave DFT calculation with PBE was carried out for crystalline InNi3H at its relaxed geometry.

Polymorph energy (0 for the lowest one) (meV per atom): 396
Calculated volume (Å³ per atom): 11.64
N(E_F) (states/eV/f.u.): 1.8
M_tot (μB per atom): 0.000

a b c (Å): 4.2462 4.2462 7.4552
angles (deg): 90.00 90.00 120.00
Closest atoms and distances in Å follow each position.
Space group P6_3/mmc (No. 194)
Unique sites:
In 0.3333 0.6667 0.2500  11 Ni 2.45-2.74
Ni 0.0000 0.0000 0.2500  2 H 1.86
Ni 0.3333 0.6667 0.5859  4 Ni 2.45-2.74, 4 In 2.50-2.74, 3 H 2.53
H 0.0000 0.0000 0.0000  2 Ni 1.86



12.
A plane-wave DFT calculation with PBE was carried out for crystalline InNi3H at its relaxed geometry.

Polymorph energy (0 for the lowest one) (meV per atom): 71
Calculated volume (Å³ per atom): 10.95
N(E_F) (states/eV/f.u.): 2.6
M_tot (μB per atom): 0.000

a b c (Å): 5.3479 5.3479 4.4214
angles (deg): 90.00 90.00 120.00
Closest atoms and distances in Å follow each position.
Space group P3m1 (No. 156)
Unique sites:
In 0.0000 0.0000 0.0000  2 H 2.19-2.23
In 0.3333 0.6667 0.4985  12 Ni 2.68-2.72
Ni 0.3551 0.1776 0.5039  1 H 1.65
Ni 0.5044 0.0088 0.9979  1 H 1.80
H 0.0000 0.0000 0.4963  3 Ni 1.65
H 0.6667 0.3333 0.2199  6 Ni 1.80-1.91



13.
A plane-wave DFT calculation with PBE was carried out for crystalline NpInNi4H6 at its relaxed geometry.

E (eV per atom): -5.077
Calculated volume (Å³ per atom): 9.09
N(E_F) (states/eV/f.u.): 13.5
M_tot (μB per atom): 0.325

a b c (Å): 4.3479 4.3479 6.6607
angles (deg): 90.00 90.00 120.00
Closest atoms and distances in Å follow each position.
Space group P6/mmm (No. 191)
Unique sites:
Np 0.0000 0.0000 0.0000  12 H 2.40
In 0.0000 0.0000 0.5000  12 Ni 2.81
Ni 0.3333 0.6667 0.3098  3 H 1.63
H 0.0000 0.5000 0.1528  2 Ni 1.63



14.
A plane-wave DFT calculation with PBE was carried out for crystalline PaInNi4H6 at its relaxed geometry.

E (eV per atom): -4.869
Calculated volume (Å³ per atom): 9.02
N(E_F) (states/eV/f.u.): 6.7
M_tot (μB per atom): 0.000

a b c (Å): 4.3368 4.3368 6.6432
angles (deg): 90.00 90.00 120.00
Closest atoms and distances in Å follow each position.
Space group P6/mmm (No. 191)
Unique sites:
Pa 0.0000 0.0000 0.0000  12 H 2.37
In 0.0000 0.0000 0.5000  12 Ni 2.81
Ni 0.3333 0.6667 0.3064  3 H 1.65
H 0.0000 0.5000 0.1449  2 Ni 1.65



15.
A plane-wave DFT calculation with PBE was carried out for crystalline InNiHPd2 at its relaxed geometry.

E (eV per atom): -4.765
Calculated volume (Å³ per atom): 12.76
N(E_F) (states/eV/f.u.): 0.8
M_tot (μB per atom): 0.000

a b c (Å): 4.0552 4.0552 3.8796
angles (deg): 90.00 90.00 90.00
Closest atoms and distances in Å follow each position.
Space group P4/mmm (No. 123)
Unique sites:
In 0.0000 0.0000 0.0000  8 Pd 2.81, 4 Ni 2.87
Ni 0.5000 0.5000 0.0000  2 H 1.94
H 0.5000 0.5000 0.5000  2 Ni 1.94, 4 Pd 2.03
Pd 0.0000 0.5000 0.5000  2 H 2.03



16.
A plane-wave DFT calculation with PBE was carried out for crystalline InNi2HPd at its relaxed geometry.

Polymorph energy (0 for the lowest one) (meV per atom): 169
Calculated volume (Å³ per atom): 12.01
N(E_F) (states/eV/f.u.): 2.9
M_tot (μB per atom): 0.000

a b c (Å): 3.7476 3.7476 4.2773
angles (deg): 90.00 90.00 90.00
Closest atoms and distances in Å follow each position.
Space group P4/mmm (No. 123)
Unique sites:
In 0.0000 0.0000 0.0000  2 H 2.14
Ni 0.0000 0.5000 0.5000  2 H 1.87
H 0.0000 0.0000 0.5000  4 Ni 1.87
Pd 0.5000 0.5000 0.0000  4 In 2.65, 8 Ni 2.84



17.
A plane-wave DFT calculation with PBE was carried out for crystalline InNi2HPd at its relaxed geometry.

Polymorph energy (0 for the lowest one) (meV per atom): 0
Calculated volume (Å³ per atom): 11.80
N(E_F) (states/eV/f.u.): 1.0
M_tot (μB per atom): 0.000

a b c (Å): 3.8746 3.8746 3.9307
angles (deg): 90.00 90.00 90.00
Closest atoms and distances in Å follow each position.
Space group P4/mmm (No. 123)
Unique sites:
In 0.0000 0.0000 0.0000  4 Pd 2.74, 8 Ni 2.76
Ni 0.0000 0.5000 0.5000  2 H 1.94
H 0.5000 0.5000 0.5000  4 Ni 1.94, 2 Pd 1.97
Pd 0.5000 0.5000 0.0000  2 H 1.97



18.
A plane-wave DFT calculation with PBE was carried out for crystalline In2NiHPd at its relaxed geometry.

E (eV per atom): -4.095
Calculated volume (Å³ per atom): 14.51
N(E_F) (states/eV/f.u.): 2.2
M_tot (μB per atom): 0.000

a b c (Å): 4.7881 4.7881 3.1646
angles (deg): 90.00 90.00 90.00
Closest atoms and distances in Å follow each position.
Space group P4/mmm (No. 123)
Unique sites:
In 0.0000 0.5000 0.0000  2 H 2.39
Ni 0.0000 0.0000 0.5000  2 H 1.58
H 0.0000 0.0000 0.0000  2 Ni 1.58
Pd 0.5000 0.5000 0.5000  8 In 2.87, 2 Pd 3.16



19.
A plane-wave DFT calculation with PBE was carried out for crystalline PmInNi4H6 at its relaxed geometry.

E (eV per atom): -4.534
Calculated volume (Å³ per atom): 9.37
N(E_F) (states/eV/f.u.): 4.6
M_tot (μB per atom): 0.000

a b c (Å): 4.3823 4.3823 6.7597
angles (deg): 90.00 90.00 120.00
Closest atoms and distances in Å follow each position.
Space group P6/mmm (No. 191)
Unique sites:
Pm 0.0000 0.0000 0.0000  12 H 2.46
In 0.0000 0.0000 0.5000  12 Ni 2.83, 12 H 3.15
Ni 0.3333 0.6667 0.3135  3 H 1.62
H 0.0000 0.5000 0.1643  2 Ni 1.62



20.
A plane-wave DFT calculation with PBE was carried out for crystalline Pr2InNiH at its relaxed geometry.

E (eV per atom): -4.665
Calculated volume (Å³ per atom): 22.36
N(E_F) (states/eV/f.u.): 3.5
M_tot (μB per atom): 0.000

a b c (Å): 6.5717 3.9374 9.0478
angles (deg): 90.00 107.24 90.00
Closest atoms and distances in Å follow each position.
Space group P2_1/m (No. 11)
Unique sites:
Pr 0.2366 0.2500 0.3893  2 H 2.86, 2 Ni 2.95
Pr 0.2413 0.2500 0.9738  3 H 2.52-2.69
In 0.2946 0.7500 0.6927  2 Ni 2.70
Ni 0.4131 0.7500 0.2170  1 H 1.61
H 0.1574 0.7500 0.1491  1 Ni 1.61